# Hf2Mg2PbO7 (PBE, optimized geometry)
data_Hf2Mg2PbO7
_cell_length_a 4.1670
_cell_length_b 17.7671
_cell_length_c 4.1665
_cell_angle_alpha 90.00
_cell_angle_beta 90.00
_cell_angle_gamma 90.00
_space_group_name_H-M_alt 'I m m 2'
_space_group_IT_number 44
loop_
_space_group_symop_operation_xyz
'x,y,z'
'-x,-y,z'
'-x,y,z'
'x,-y,z'
'x+1/2,y+1/2,z+1/2'
'-x+1/2,-y+1/2,z+1/2'
'-x+1/2,y+1/2,z+1/2'
'x+1/2,-y+1/2,z+1/2'
loop_
_atom_site_label
_atom_site_type_symbol
_atom_site_fract_x
_atom_site_fract_y
_atom_site_fract_z
Hf1 Hf 0.0000 0.1158 0.0000
Mg1 Mg 0.0000 0.2469 0.5131
Pb1 Pb 0.0000 0.5000 0.9233
O1 O 0.0000 0.0000 0.0596
O2 O 0.0000 0.1254 0.5133
O3 O 0.0000 0.2346 0.0142
O4 O 0.0000 0.3833 0.5257
# Final energy = -0.2917 Ha/atom
# E_form (uncorrected) = -2.813 eV/atom
# Size of the total moment = 0.0 μB/f.u.
# D(E_F) = 0.000 states/eV per atom

=====

# TcPb3W (PBE, optimized geometry)
data_TcPb3W
_cell_length_a 5.3933
_cell_length_b 5.3933
_cell_length_c 5.3933
_cell_angle_alpha 90.00
_cell_angle_beta 90.00
_cell_angle_gamma 90.00
_space_group_name_H-M_alt 'P m -3 m'
_space_group_IT_number 221
_space_group_name_Hall '-P 4 2 3'
loop_
_atom_site_label
_atom_site_type_symbol
_atom_site_fract_x
_atom_site_fract_y
_atom_site_fract_z
Tc1 Tc 0.0000 0.0000 0.0000
Pb1 Pb 0.0000 0.5000 0.5000
W1 W 0.5000 0.5000 0.5000
# Final energy = -0.1984 Ha/atom
# Energy above the most stable polymorph in this dataset = 0 meV/atom
# ΔH_f (0 K) = 143.82 kJ per mole of atoms
# Size of the total moment = 5.0 μB/f.u.
# D(E_F) = 1.190 states/eV per atom

=====

# K2ZnAs (PBE, optimized geometry)
data_K2ZnAs
_cell_length_a 3.2155
_cell_length_b 4.7055
_cell_length_c 8.2651
_cell_angle_alpha 90.00
_cell_angle_beta 90.06
_cell_angle_gamma 90.00
_space_group_name_H-M_alt 'P 1 2/m 1'
_space_group_IT_number 10
loop_
_space_group_symop_operation_xyz
'x,y,z'
'-x,-y,-z'
'-x,y,-z'
'x,-y,z'
loop_
_atom_site_label
_atom_site_type_symbol
_atom_site_fract_x
_atom_site_fract_y
_atom_site_fract_z
K1 K 0.0008 0.0000 0.2797
Zn1 Zn 0.5000 0.5000 0.0000
As1 As 0.5000 0.5000 0.5000
# Final energy = -0.0736 Ha/atom
# Energy above the most stable polymorph in this dataset = 288 meV/atom
# ΔH_f (0 K) = 2.70 kJ per mole of atoms
# Size of the total moment = 0.0 μB/f.u.
# D(E_F) = 0.676 states/eV per atom

=====

# LiNbAlO4 (PBE, optimized geometry)
data_LiNbAlO4
_cell_length_a 5.8905
_cell_length_b 8.7341
_cell_length_c 6.0020
_cell_angle_alpha 90.00
_cell_angle_beta 90.00
_cell_angle_gamma 90.00
_space_group_name_H-M_alt 'C m c m'
_space_group_IT_number 63
_space_group_name_Hall '-C 2c 2'
loop_
_atom_site_label
_atom_site_type_symbol
_atom_site_fract_x
_atom_site_fract_y
_atom_site_fract_z
Li1 Li 0.0000 0.1576 0.2500
Nb1 Nb 0.0000 0.5000 0.0000
Al1 Al 0.0000 0.1510 0.7500
O1 O 0.0000 0.2740 0.5182
O2 O 0.2336 0.0180 0.7500
# Final energy = -0.2796 Ha/atom
# E_form (uncorrected) = -2.529 eV/atom
# Size of the total moment = 0.0 μB/f.u.
# D(E_F) = 0.228 states/eV per atom

=====

# RbCrAg (PBE, optimized geometry)
data_RbCrAg
_cell_length_a 12.8819
_cell_length_b 5.9399
_cell_length_c 4.7847
_cell_angle_alpha 90.00
_cell_angle_beta 90.00
_cell_angle_gamma 90.00
_space_group_name_H-M_alt 'P n m a'
_space_group_IT_number 62
loop_
_space_group_symop_operation_xyz
'x,y,z'
'-x,-y,-z'
'-x+1/2,-y,z+1/2'
'x+1/2,y,-z+1/2'
'x+1/2,-y+1/2,-z+1/2'
'-x+1/2,y+1/2,z+1/2'
'-x,y+1/2,-z'
'x,-y+1/2,z'
loop_
_atom_site_label
_atom_site_type_symbol
_atom_site_fract_x
_atom_site_fract_y
_atom_site_fract_z
Rb1 Rb 0.2361 0.2500 0.0048
Cr1 Cr 0.0262 0.7500 0.0003
Ag1 Ag 0.0000 0.0000 0.5000
# Final energy = -0.1423 Ha/atom
# Energy above the most stable polymorph in this dataset = 0 meV/atom
# ΔH_f (0 K) = 58.77 kJ per mole of atoms
# Size of the total moment = 4.7 μB/f.u.
# D(E_F) = 0.484 states/eV per atom

=====

# AgPCl (PBE, optimized geometry)
data_AgPCl
_cell_length_a 3.2127
_cell_length_b 3.2127
_cell_length_c 10.9872
_cell_angle_alpha 90.00
_cell_angle_beta 90.00
_cell_angle_gamma 90.00
_space_group_name_H-M_alt 'I 4 m m'
_space_group_IT_number 107
_space_group_name_Hall 'I 4 -2'
loop_
_atom_site_label
_atom_site_type_symbol
_atom_site_fract_x
_atom_site_fract_y
_atom_site_fract_z
Ag1 Ag 0.0000 0.0000 0.0000
P1 P 0.0000 0.0000 0.3733
Cl1 Cl 0.0000 0.0000 0.6775
# Final energy = -0.1097 Ha/atom
# Energy above the most stable polymorph in this dataset = 392 meV/atom
# E_form (uncorrected) = 0.385 eV/atom
# Size of the total moment = 0.0 μB/f.u.
# D(E_F) = 0.658 states/eV per atom

=====

# Hf6PtC2 (PBE, optimized geometry)
data_Hf6PtC2
_cell_length_a 10.8881
_cell_length_b 4.4850
_cell_length_c 7.8514
_cell_angle_alpha 90.00
_cell_angle_beta 118.81
_cell_angle_gamma 90.00
_space_group_name_H-M_alt 'C 1 2/m 1'
_space_group_IT_number 12
loop_
_space_group_symop_operation_xyz
'x,y,z'
'-x,-y,-z'
'-x,y,-z'
'x,-y,z'
'x+1/2,y+1/2,z'
'-x+1/2,-y+1/2,-z'
'-x+1/2,y+1/2,-z'
'x+1/2,-y+1/2,z'
loop_
_atom_site_label
_atom_site_type_symbol
_atom_site_fract_x
_atom_site_fract_y
_atom_site_fract_z
Hf1 Hf 0.0224 0.0000 0.1939
Hf2 Hf 0.1664 0.5000 0.5671
Hf3 Hf 0.1919 0.5000 0.0867
Pt1 Pt 0.0000 0.0000 0.5000
C1 C 0.1861 0.0000 0.0908
# Final energy = -0.3599 Ha/atom
# ΔH_f (0 K) = -42.06 kJ per mole of atoms
# Size of the total moment = 0.0 μB/f.u.
# D(E_F) = 0.771 states/eV per atom

=====

# NaSmAs2Pd5 (PBE, optimized geometry)
data_NaSmAs2Pd5
_cell_length_a 4.4753
_cell_length_b 4.4753
_cell_length_c 8.1427
_cell_angle_alpha 90.00
_cell_angle_beta 90.00
_cell_angle_gamma 90.00
_space_group_name_H-M_alt 'P 4/m m m'
_space_group_IT_number 123
_space_group_name_Hall '-P 4 2'
loop_
_atom_site_label
_atom_site_type_symbol
_atom_site_fract_x
_atom_site_fract_y
_atom_site_fract_z
Na1 Na 0.0000 0.0000 0.0000
Sm1 Sm 0.0000 0.0000 0.5000
As1 As 0.5000 0.5000 0.3445
Pd1 Pd 0.0000 0.5000 0.2208
Pd2 Pd 0.5000 0.5000 0.0000
# Final energy = -0.1895 Ha/atom
# ΔH_f (0 K) = -54.84 kJ per mole of atoms
# Size of the total moment = 0.0 μB/f.u.
# D(E_F) = 0.436 states/eV per atom

=====

# Cr4Rh (PBE, optimized geometry)
data_Cr4Rh
_cell_length_a 4.7191
_cell_length_b 4.7191
_cell_length_c 4.7191
_cell_angle_alpha 90.00
_cell_angle_beta 90.00
_cell_angle_gamma 90.00
_space_group_name_H-M_alt 'P m -3 m'
_space_group_IT_number 221
_space_group_name_Hall '-P 4 2 3'
loop_
_atom_site_label
_atom_site_type_symbol
_atom_site_fract_x
_atom_site_fract_y
_atom_site_fract_z
Cr1 Cr 0.0000 0.0000 0.0000
Cr2 Cr 0.0000 0.5000 0.5000
Rh1 Rh 0.5000 0.5000 0.5000
# Final energy = -0.2806 Ha/atom
# Energy above the most stable polymorph in this dataset = 894 meV/atom
# ΔH_f (0 K) = 147.99 kJ per mole of atoms
# Size of the total moment = 15.0 μB/f.u.
# D(E_F) = 1.448 states/eV per atom

=====

# Sm4PtSe3 (PBE, optimized geometry)
data_Sm4PtSe3
_cell_length_a 8.4878
_cell_length_b 11.9263
_cell_length_c 4.1164
_cell_angle_alpha 90.00
_cell_angle_beta 90.00
_cell_angle_gamma 90.00
_space_group_name_H-M_alt 'C m m m'
_space_group_IT_number 65
_space_group_name_Hall '-C 2 2'
loop_
_atom_site_label
_atom_site_type_symbol
_atom_site_fract_x
_atom_site_fract_y
_atom_site_fract_z
Sm1 Sm 0.0000 0.2474 0.0000
Sm2 Sm 0.2360 0.0000 0.5000
Pt1 Pt 0.0000 0.0000 0.0000
Se1 Se 0.0000 0.5000 0.0000
Se2 Se 0.2500 0.2500 0.5000
# Final energy = -0.2233 Ha/atom
# Energy above the most stable polymorph in this dataset = 0 meV/atom
# E_form (uncorrected) = -1.654 eV/atom
# Size of the total moment = 0.0 μB/f.u.
# D(E_F) = 0.553 states/eV per atom

=====

# InSiOs (PBE, optimized geometry)
data_InSiOs
_cell_length_a 3.0669
_cell_length_b 3.0669
_cell_length_c 6.3369
_cell_angle_alpha 90.00
_cell_angle_beta 90.00
_cell_angle_gamma 120.00
_space_group_name_H-M_alt 'P 3 m 1'
_space_group_IT_number 156
loop_
_space_group_symop_operation_xyz
'x,y,z'
'-y,x-y,z'
'-x+y,-x,z'
'-y,-x,z'
'-x+y,y,z'
'x,x-y,z'
loop_
_atom_site_label
_atom_site_type_symbol
_atom_site_fract_x
_atom_site_fract_y
_atom_site_fract_z
In1 In 0.0000 0.0000 0.0000
Si1 Si 0.6667 0.3333 0.6133
Os1 Os 0.3333 0.6667 0.3571
# Final energy = -0.2313 Ha/atom
# E_form (uncorrected) = 0.170 eV/atom
# Size of the total moment = 0.0 μB/f.u.
# D(E_F) = 0.549 states/eV per atom

=====

# CeEuIr2 (PBE, optimized geometry)
data_CeEuIr2
_cell_length_a 3.9970
_cell_length_b 3.9970
_cell_length_c 20.8934
_cell_angle_alpha 90.00
_cell_angle_beta 90.00
_cell_angle_gamma 120.00
_space_group_name_H-M_alt 'R -3 m'
_space_group_IT_number 166
_space_group_name_Hall '-R 3 2"'
loop_
_atom_site_label
_atom_site_type_symbol
_atom_site_fract_x
_atom_site_fract_y
_atom_site_fract_z
Ce1 Ce 0.0000 0.0000 0.0000
Eu1 Eu 0.0000 0.0000 0.5000
Ir1 Ir 0.0000 0.0000 0.2572
# Final energy = -0.3253 Ha/atom
# Energy above the most stable polymorph in this dataset = 171 meV/atom
# ΔH_f (0 K) = -35.56 kJ per mole of atoms
# Size of the total moment = 6.8 μB/f.u.
# D(E_F) = 3.311 states/eV per atom

=====

What is the final energy in the fourth record?
-0.2796 Ha/atom